5
Lattice="-1.600 -3.640 3.734 3.788 1.786 3.364 -3.521 3.635 2.035" Properties=species:S:1:pos:R:3 comment="ScTiCdPb2 (PBE-GGA, relaxed)" magmom_total_mub_per_cell=0.1 ef_ev_per_atom=0.88 pbc="T T T"
Pb -1.760 1.817 1.017
Pb -0.800 -1.820 1.867
Cd 1.894 0.893 1.682
Ti -0.667 0.891 4.566
Sc 0.000 0.000 0.000